Density functional theory data (GGA-PBE) for Y2CrAu after structural relaxation.

Values from the calculation:
The calculation puts the density of states at the Fermi level at 4.00 states/eV per cell. Its symmetry is C2/m. For the total magnetization, the calculation gives 3.55 μB per formula unit. The calculated total energy is -25.54 eV for the cell shown. The calculation puts the energy above the most stable polymorph in this dataset at 302 meV/atom.

Structure (POSCAR):
```
Y2CrAu
1.0
-0.619 0.603 -4.675
2.716 -0.273 -3.893
-1.182 -6.191 -1.895
Au Cr Y
1 1 2
Direct
0.250 0.250 0.250 Au
0.750 0.750 0.750 Cr
0.994 0.994 0.002 Y
0.506 0.506 0.498 Y
```

=====

Density functional theory data (GGA-PBE) for Y2CrAu after structural relaxation.

Values from the calculation:
The calculation puts the density of states at the Fermi level at 4.79 states/eV per cell. Its symmetry is Amm2. For the total magnetization, the calculation gives 3.69 μB per formula unit. The calculated total energy is -26.66 eV for the cell shown. The calculation puts the energy above the most stable polymorph in this dataset at 22 meV/atom.

Structure (POSCAR):
```
Y2CrAu
1.0
-4.489 -1.067 -0.741
0.524 -3.350 1.653
-1.056 0.513 5.663
Au Cr Y
1 1 2
Direct
0.000 0.698 0.479 Au
0.500 0.552 0.772 Cr
0.000 0.978 0.919 Y
0.500 0.272 0.330 Y
```

=====

Density functional theory data (GGA-PBE) for Y2CrAu after structural relaxation.

Values from the calculation:
The calculation puts the density of states at the Fermi level at 4.23 states/eV per cell. Its symmetry is I-4m2. For the total magnetization, the calculation gives 3.69 μB per formula unit. The calculated total energy is -26.06 eV for the cell shown. The calculation puts the energy above the most stable polymorph in this dataset at 170 meV/atom.

Structure (POSCAR):
```
Y2CrAu
1.0
-3.507 0.219 4.604
-3.982 -4.188 0.375
5.714 0.253 -0.906
Au Cr Y
1 1 2
Direct
0.500 0.500 0.000 Au
0.750 0.250 0.500 Cr
0.000 0.000 0.000 Y
0.250 0.750 0.500 Y
```

=====

Density functional theory data (GGA-PBE) for Y2CrAu after structural relaxation.

Values from the calculation:
The calculation puts the density of states at the Fermi level at 7.33 states/eV per cell. Its symmetry is I-42d. For the total magnetization, the calculation gives 4.28 μB per formula unit. The calculated total energy is -48.45 eV for the cell shown. The calculation puts the energy above the most stable polymorph in this dataset at 630 meV/atom.

Structure (POSCAR):
```
Y2CrAu
1.0
-2.683 -1.576 3.312
-2.962 -1.490 -3.108
1.956 -10.353 -0.224
Y Cr Au
4 2 2
Direct
0.631 0.125 0.250 Y
0.119 0.625 0.250 Y
0.375 0.369 0.750 Y
0.875 0.881 0.750 Y
0.500 0.500 0.000 Cr
0.250 0.750 0.500 Cr
0.000 0.000 0.000 Au
0.750 0.250 0.500 Au
```

=====

| no. | ΔH_f (0 K) (eV/atom) |
| --- | --- |
| 1 | 0.073 |
| 2 | -0.207 |
| 3 | -0.059 |
| 4 | 0.401 |